# 1
10
Lattice="6.685 0.000 0.000 0.000 6.685 0.000 0.000 0.000 4.649" Properties=species:S:1:pos:R:3 comment="Y2NbOs2 GGA-PBEsol relaxed" delta_e_f_ev_per_atom=-0.097 sg=P4/mbm pbc="T T T"
Y 1.194 2.149 0.000
Y 2.149 5.491 0.000
Y 4.536 1.194 0.000
Y 5.491 4.536 0.000
Nb 0.000 0.000 2.325
Nb 3.342 3.342 2.325
Os 0.855 4.197 2.325
Os 2.488 0.855 2.325
Os 4.197 5.830 2.325
Os 5.830 2.488 2.325

# 2
4
Lattice="0.000 3.239 3.239 3.239 0.000 3.239 3.239 3.239 0.000" Properties=species:S:1:pos:R:3 comment="ZrNb2Os GGA-PBEsol relaxed" delta_e_f_ev_per_atom=-0.165 sg=Fm-3m pbc="T T T"
Zr 0.000 0.000 0.000
Nb 1.620 1.620 1.620
Nb 4.859 4.859 4.859
Os 3.239 3.239 3.239

# 3
5
Lattice="4.816 0.000 0.000 0.000 4.816 0.000 0.000 0.000 4.816" Properties=species:S:1:pos:R:3 comment="ZrNb3Os GGA-PBEsol relaxed" delta_e_f_ev_per_atom=0.961 sg=Pm-3m pbc="T T T"
Zr 0.000 0.000 0.000
Nb 0.000 2.408 2.408
Nb 2.408 0.000 2.408
Nb 2.408 2.408 0.000
Os 2.408 2.408 2.408

# 4
4
Lattice="-1.664 1.664 5.657 1.664 -1.664 5.657 1.664 1.664 -5.657" Properties=species:S:1:pos:R:3 comment="NbP GGA-PBEsol relaxed" delta_e_f_ev_per_atom=-1.062 sg=I4_1md pbc="T T T"
Nb 0.000 0.000 0.000
Nb 0.000 1.664 2.829
P 1.664 0.000 1.898
P 0.000 0.000 4.726

# 5
6
Lattice="4.416 -1.623 0.000 4.416 1.623 0.000 -3.634 0.000 6.572" Properties=species:S:1:pos:R:3 comment="NbP2 GGA-PBEsol relaxed" delta_e_f_ev_per_atom=-0.754 sg=C2/m pbc="T T T"
Nb 0.679 0.000 1.316
Nb 4.519 0.000 5.256
P -0.728 0.000 3.456
P 3.188 0.000 0.665
P 2.010 0.000 5.906
P 5.926 0.000 3.116

# 6
32
Lattice="10.104 0.000 0.000 0.000 10.104 0.000 0.000 0.000 5.066" Properties=species:S:1:pos:R:3 comment="Nb3P GGA-PBEsol relaxed" delta_e_f_ev_per_atom=-0.691 sg=P4_2/n pbc="T T T"
Nb 0.382 5.624 1.223
Nb 0.572 9.722 3.756
Nb 1.058 2.422 0.071
Nb 1.558 6.702 3.693
Nb 1.650 8.546 1.160
Nb 2.422 3.995 2.462
Nb 2.630 1.058 2.462
Nb 3.402 6.611 1.160
Nb 3.494 8.454 3.693
Nb 3.995 2.630 0.071
Nb 4.481 5.435 3.756
Nb 4.670 9.533 1.223
Nb 5.435 0.572 3.842
Nb 5.624 4.670 1.309
Nb 6.110 7.475 4.995
Nb 6.611 1.650 1.372
Nb 6.702 3.494 3.905
Nb 7.475 9.047 2.603
Nb 7.682 6.110 2.603
Nb 8.454 1.558 3.905
Nb 8.546 3.402 1.372
Nb 9.047 7.682 4.995
Nb 9.533 0.382 1.309
Nb 9.722 4.481 3.842
P 0.433 2.318 2.620
P 2.318 4.620 4.978
P 2.734 0.433 4.978
P 4.620 2.734 2.620
P 5.485 7.370 2.446
P 7.370 9.672 0.087
P 7.786 5.485 0.087
P 9.672 7.786 2.446

# 7
5
Lattice="5.417 0.000 0.000 0.000 5.417 0.000 0.000 0.000 5.417" Properties=species:S:1:pos:R:3 comment="NbPPb3 GGA-PBEsol relaxed" delta_e_f_ev_per_atom=0.966 sg=Pm-3m pbc="T T T"
Nb 0.000 0.000 0.000
P 2.708 2.708 2.708
Pb 0.000 0.000 2.708
Pb 0.000 2.708 0.000
Pb 2.708 0.000 0.000

# 8
5
Lattice="5.005 0.000 0.000 0.000 5.005 0.000 0.000 0.000 5.207" Properties=species:S:1:pos:R:3 comment="TiNbP2Pb GGA-PBEsol relaxed" delta_e_f_ev_per_atom=1.900 sg=P4/mmm pbc="T T T"
Ti 0.000 0.000 0.000
Nb 2.502 2.502 0.000
P 0.000 2.502 2.604
P 2.502 0.000 2.604
Pb 2.502 2.502 2.604

# 9
13
Lattice="-5.153 5.153 1.806 5.153 -5.153 1.806 5.153 5.153 -1.806" Properties=species:S:1:pos:R:3 comment="Nb5P4Pd4 GGA-PBEsol relaxed" delta_e_f_ev_per_atom=-0.822 sg=I4/m pbc="T T T"
Nb 0.000 0.000 0.000
Nb 3.881 3.207 0.000
Nb 1.946 -1.272 1.806
Nb 3.207 6.425 0.000
Nb 1.272 1.946 1.806
P 2.517 0.610 0.000
P 4.543 -2.637 1.806
P 0.610 7.790 0.000
P 2.637 4.543 1.806
Pd 6.120 1.184 0.000
Pd 1.184 4.186 0.000
Pd 3.969 0.967 1.806
Pd -0.967 3.969 1.806

# 10
5
Lattice="4.639 0.000 0.000 0.000 4.639 0.000 0.000 0.000 4.688" Properties=species:S:1:pos:R:3 comment="NbPPdRu2 GGA-PBEsol relaxed" delta_e_f_ev_per_atom=1.997 sg=P4/mmm pbc="T T T"
Nb 0.000 0.000 0.000
P 2.320 2.320 0.000
Pd 0.000 0.000 2.344
Ru 0.000 2.320 2.344
Ru 2.320 0.000 2.344

# 11
5
Lattice="4.668 0.000 0.000 0.000 4.668 0.000 0.000 0.000 4.828" Properties=species:S:1:pos:R:3 comment="NbPPdS2 GGA-PBEsol relaxed" energy_ha_per_atom=-0.218 sg=P4/mmm pbc="T T T"
Nb 0.000 0.000 0.000
P 0.000 0.000 2.414
Pd 2.334 2.334 2.414
S 0.000 2.334 0.000
S 2.334 0.000 0.000

# 12
5
Lattice="4.558 0.000 0.000 0.000 4.558 0.000 0.000 0.000 4.558" Properties=species:S:1:pos:R:3 comment="NbP3Pt GGA-PBEsol relaxed" delta_e_f_ev_per_atom=0.890 sg=Pm-3m pbc="T T T"
Nb 0.000 0.000 0.000
P 0.000 2.279 2.279
P 2.279 0.000 2.279
P 2.279 2.279 0.000
Pt 2.279 2.279 2.279

no.,total magnetization (μB/atom)
1,0.00
2,0.00
3,0.00
4,0.00
5,0.00
6,0.00
7,0.56
8,0.10
9,0.00
10,0.48
11,0.00
12,0.18